Crystalline Pt14RhAu at its relaxed geometry, computed with GGA-PBE.

```
data_Pt14RhAu
_chemical_formula_sum 'Pt28 Rh2 Au2'
_symmetry_space_group_name_H-M 'A m m 2'
_symmetry_Int_Tables_number 38
_symmetry_space_group_name_Hall 'A 2 -2'
_cell_length_a 9.319
_cell_length_b 5.585
_cell_length_c 9.689
_cell_angle_alpha 90.00
_cell_angle_beta 90.00
_cell_angle_gamma 90.00
loop_
_atom_site_label
_atom_site_fract_x
_atom_site_fract_y
_atom_site_fract_z
_atom_site_occupancy
Pt1 0.000 0.000 0.000 1
Pt2 0.000 0.000 0.500 1
Pt3 0.000 0.250 0.250 1
Pt4 0.249 0.000 0.335 1
Pt5 0.250 0.248 0.584 1
Pt6 0.253 0.000 0.834 1
Pt7 0.500 0.250 0.419 1
Rh1 0.500 0.000 0.669 1
Au1 0.500 0.000 0.170 1
```

Summary:
calculated formation energy = 0.042 eV/atom
VASP energy = -5.9077 eV/atom
M_tot = 0.01 μB per formula unit
DOS(E_F) = 2.01 states/eV/atom
crystal system = orthorhombic